DFT (PBE) results for an optimized crystal structure of TbTh2Mo.

Cell: 3.6007 3.6007 8.4692 Å, 90.00 90.00 90.00°
Closest atoms and distances in Å follow each position.
Atoms (fractional coordinates):
Tb 0.0000 0.0000 0.0000  8 Th 3.54, 4 Tb 3.60
Th 0.5000 0.5000 0.2906  4 Mo 3.10
Th 0.5000 0.5000 0.7094  4 Mo 3.10
Mo 0.0000 0.0000 0.5000  8 Th 3.10

Output
Offset from the most stable computed form, meV/atom: 0
V, Å³/atom: 27.45
ΔE_f, meV per atom: 162
N(E_F), states/eV per atom: 1.252



DFT (PBE) results for an optimized crystal structure of TbTiMo.

Cell: 13.0013 13.0013 13.0013 Å, 165.93 165.93 19.94°
Closest atoms and distances in Å follow each position.
Atoms (fractional coordinates):
Tb 0.0683 0.0683 0.0000  5 Tb 3.18-3.50, 4 Ti 3.23
Tb 0.9317 0.9317 0.0000  5 Tb 3.18-3.50, 4 Ti 3.23
Ti 0.3413 0.3413 0.0000  4 Mo 2.75
Ti 0.6587 0.6587 0.0000  4 Mo 2.75
Mo 0.2203 0.2203 0.0000  4 Mo 2.72, 4 Ti 2.75
Mo 0.7797 0.7797 0.0000  4 Mo 2.72, 4 Ti 2.75

Output
V, Å³/atom: 21.63
ΔE_f, meV per atom: 123
N(E_F), states/eV per atom: 1.479



DFT (PBE) results for an optimized crystal structure of TbTiMo4.

Cell: 5.3908 5.3908 5.3908 Å, 60.00 60.00 60.00°
Closest atoms and distances in Å follow each position.
Atoms (fractional coordinates):
Tb 0.0000 0.0000 0.0000  12 Mo 3.16, 4 Ti 3.30
Ti 0.2500 0.2500 0.2500  12 Mo 3.16, 4 Tb 3.30
Mo 0.1251 0.6250 0.6250  6 Mo 2.69-2.70
Mo 0.6250 0.1251 0.6250  6 Mo 2.69-2.70
Mo 0.6250 0.6250 0.1251  6 Mo 2.69-2.70
Mo 0.6250 0.6250 0.6250  6 Mo 2.69-2.70

Output
V, Å³/atom: 18.46
ΔE_f, meV per atom: 101
N(E_F), states/eV per atom: 0.989



DFT (PBE) results for an optimized crystal structure of TbTmMo.

Cell: 3.3387 3.3387 13.4244 Å, 90.01 90.01 90.04°
Closest atoms and distances in Å follow each position.
Atoms (fractional coordinates):
Tb 0.2493 0.2493 0.1981  5 Mo 3.09-3.32, 4 Tb 3.34
Tb 0.7507 0.7507 0.8019  5 Mo 3.09-3.32, 4 Tb 3.34
Tm 0.2499 0.2499 0.5920  8 Tm 3.34-3.42, 4 Tb 3.67-3.68
Tm 0.7501 0.7501 0.4080  8 Tm 3.34-3.42, 4 Tb 3.67-3.68
Mo 0.2504 0.2504 0.9508  4 Mo 2.70-2.71
Mo 0.7496 0.7496 0.0492  4 Mo 2.70-2.71

Output
V, Å³/atom: 24.94
ΔE_f, meV per atom: 131
N(E_F), states/eV per atom: 1.275